1.
Ac2PrSmEr | PBE-GGA | optimized geometry

Total magnetization = 0.00 μB/atom
DOS(E_F) = 1.310 states/eV/atom
ΔH_f (0 K) = 0.251 eV per atom

Lattice parameters (Å, degrees): 6.815 8.890 6.495 90.00 90.00 90.00
Sites, in units of the cell vectors:
1 Ac 0.712 0.706 0.750
2 Ac 0.288 0.294 0.250
3 Pr 0.585 0.000 0.250
4 Ac 0.712 0.294 0.750
5 Er 0.000 0.000 0.500
6 Ac 0.288 0.706 0.250
7 Sm 0.184 0.500 0.750
8 Pr 0.415 0.000 0.750
9 Er 0.000 0.000 0.000
10 Sm 0.816 0.500 0.250

***

2.
Zr3TaN | PBE-GGA | optimized geometry

Raw total energy = -49.0 eV/cell
Total magnetization = 0.00 μB/atom
DOS(E_F) = 0.652 states/eV/atom

Lattice parameters (Å, degrees): 4.512 4.512 4.512 90.00 90.00 90.00
Sites, in units of the cell vectors:
1 N 0.000 0.000 0.000
2 Zr 0.500 0.000 0.000
3 Zr 0.000 0.000 0.500
4 Ta 0.500 0.500 0.500
5 Zr 0.000 0.500 0.000

***

3.
BAsC2 | PBE-GGA | optimized geometry

Total magnetization = 0.00 μB/atom
DOS(E_F) = 0.380 states/eV/atom
ΔH_f (0 K) = 2.796 eV per atom

Lattice parameters (Å, degrees): 3.728 3.728 3.728 60.00 60.00 60.00
Sites, in units of the cell vectors:
1 B 0.000 0.000 0.000
2 C 0.250 0.250 0.250
3 C 0.750 0.750 0.750
4 As 0.500 0.500 0.500

***

Q: Which value of total magnetization does entry 1 give?
A: 0.00 μB/atom

***

Q: total magnetization of number 3 (BAsC2)?
A: 0.00 μB/atom